Density functional theory data (PBE-GGA) for crystalline Na2Hg7Pb2 at its relaxed geometry.

a b c (Å): 11.574 9.847 5.414
angles (deg): 90.00 98.35 90.00
Space group C2/m (No. 12)
Symmetry-distinct sites (fractional):
Na1 0.235 0.000 0.269 x4
Hg1 0.000 0.500 0.000 x2
Hg2 0.051 0.000 0.766 x4
Hg3 0.226 0.323 0.229 x8
Pb1 0.000 0.317 0.500 x4

Properties
- Energy of formation: -0.080 eV/atom
- Excess energy over the best structure of this formula in the dataset: 0 meV/atom
- DOS at the Fermi energy: 7.7 states/eV/cell